[1]
# GGA-PBE Ca3AgCl, relaxed
# - Energy: -2.51 eV/atom
# - Relative energy among the computed polymorphs: 8.0 kJ/mol of atoms
# - Calculated volume: 38.57 Å³/atom
# - Total magnetic moment: 0.00 μB per formula unit
# - Energy relative to the elements, uncorrected: -0.3684 eV per atom
data_Ca3AgCl
_cell_length_a 5.778
_cell_length_b 5.778
_cell_length_c 5.778
_cell_angle_alpha 90.00
_cell_angle_beta 90.00
_cell_angle_gamma 90.00
_space_group_name_H-M_alt 'P 1'
_space_group_IT_number 1
loop_
_space_group_symop_operation_xyz
'x,y,z'
loop_
_atom_site_label
_atom_site_fract_x
_atom_site_fract_y
_atom_site_fract_z
Ca1 0.000 0.500 0.000
Ca2 0.000 0.000 0.500
Ca3 0.500 0.000 0.000
Ag1 0.000 0.000 0.000
Cl1 0.500 0.500 0.500

=====

[2]
# GGA-PBE LuGeIr2, relaxed
# - Energy: -7.32 eV/atom
# - Calculated volume: 16.58 Å³/atom
# - Total magnetic moment: 0.00 μB per formula unit
data_LuGeIr2
_cell_length_a 3.681
_cell_length_b 4.244
_cell_length_c 4.244
_cell_angle_alpha 90.00
_cell_angle_beta 90.00
_cell_angle_gamma 90.00
_space_group_name_H-M_alt 'P 1'
_space_group_IT_number 1
loop_
_space_group_symop_operation_xyz
'x,y,z'
loop_
_atom_site_label
_atom_site_fract_x
_atom_site_fract_y
_atom_site_fract_z
Ge1 0.500 0.000 0.000
Ir1 0.000 0.000 0.500
Ir2 0.000 0.500 0.000
Lu1 0.500 0.500 0.500

=====

[3]
# GGA-PBE SrThTlHg, relaxed
# - Energy: -3.14 eV/atom
# - Calculated volume: 30.65 Å³/atom
# - Total magnetic moment: 0.00 μB per formula unit
data_SrThTlHg
_cell_length_a 5.576
_cell_length_b 5.576
_cell_length_c 5.576
_cell_angle_alpha 60.00
_cell_angle_beta 60.00
_cell_angle_gamma 60.00
_space_group_name_H-M_alt 'P 1'
_space_group_IT_number 1
loop_
_space_group_symop_operation_xyz
'x,y,z'
loop_
_atom_site_label
_atom_site_fract_x
_atom_site_fract_y
_atom_site_fract_z
Sr1 0.500 0.500 0.500
Tl1 0.750 0.750 0.750
Hg1 0.250 0.250 0.250
Th1 0.000 0.000 0.000

=====

[4]
# GGA-PBE La2Er5Tm5, relaxed
# - Energy: -4.55 eV/atom
# - Calculated volume: 31.46 Å³/atom
# - Total magnetic moment: 0.00 μB per formula unit
data_La2Er5Tm5
_cell_length_a 5.013
_cell_length_b 7.938
_cell_length_c 10.611
_cell_angle_alpha 72.54
_cell_angle_beta 76.34
_cell_angle_gamma 71.59
_space_group_name_H-M_alt 'P 1'
_space_group_IT_number 1
loop_
_space_group_symop_operation_xyz
'x,y,z'
loop_
_atom_site_label
_atom_site_fract_x
_atom_site_fract_y
_atom_site_fract_z
La1 0.918 0.417 0.748
La2 0.082 0.583 0.252
Er1 0.500 0.500 0.500
Er2 0.334 0.331 0.001
Er3 0.414 0.922 0.250
Er4 0.586 0.078 0.750
Er5 0.666 0.669 0.999
Tm1 0.831 0.838 0.500
Tm2 0.247 0.755 0.751
Tm3 0.753 0.245 0.249
Tm4 0.169 0.162 0.500
Tm5 0.000 0.000 0.000